(1)
DFT (GGA-PBE) results for a relaxed structure of Na3Pd.

The formation energy comes out at 24 meV per atom. As for the total moment: 0.00 μB/f.u.

It has space group Pm-3m (No. 221), with a = 4.569 Å, b = 4.569 Å, c = 4.569 Å, α = 90.00°, β = 90.00° and γ = 90.00°. The distinct sites, in fractional coordinates, are Na at (0.000, 0.000, 0.500) and Pd at (0.500, 0.500, 0.500).


(2)
DFT (GGA-PBE) results for a relaxed structure of Pu3Ag5Se12.

As for the total moment: 11.56 μB/f.u. For the formation energy without anion corrections, the calculation gives -458 meV/atom.

It has space group Ia-3d (No. 230), with a = 16.053 Å, b = 16.053 Å, c = 16.053 Å, α = 90.00°, β = 90.00° and γ = 90.00°. The distinct sites, in fractional coordinates, are Pu at (0.000, 0.250, 0.125), Ag at (0.000, 0.000, 0.000), Ag at (0.000, 0.250, 0.375) and Se at (0.016, 0.069, 0.653).


(3)
DFT (GGA-PBE) results for a relaxed structure of Dy2Si4Ni3Ru.

As for the total moment: 0.00 μB/f.u. For the formation energy without anion corrections, the calculation gives -869 meV/atom.

It has space group P-4m2 (No. 115), with a = 3.973 Å, b = 3.973 Å, c = 9.669 Å, α = 90.00°, β = 90.00° and γ = 90.00°. The distinct sites, in fractional coordinates, are Dy at (0.000, 0.500, 0.241), Si at (0.000, 0.000, 0.000), Si at (0.000, 0.500, 0.635), Si at (0.500, 0.500, 0.000), Ni at (0.000, 0.500, 0.875), Ni at (0.500, 0.500, 0.500) and Ru at (0.000, 0.000, 0.500).


(4)
DFT (GGA-PBE) results for a relaxed structure of Hg2Ge2Rh.

The formation energy comes out at 120 meV per atom. As for the total moment: 0.00 μB/f.u.

It has space group P4/mbm (No. 127), with a = 6.426 Å, b = 6.426 Å, c = 4.941 Å, α = 90.00°, β = 90.00° and γ = 90.00°. The distinct sites, in fractional coordinates, are Hg at (0.192, 0.308, 0.000), Ge at (0.143, 0.643, 0.500) and Rh at (0.000, 0.000, 0.500).


(5)
DFT (GGA-PBE) results for a relaxed structure of Pm4As2Br3.

As for the total moment: 0.00 μB/f.u. For the formation energy without anion corrections, the calculation gives -1584 meV/atom.

It has space group C2/m (No. 12), with a = 7.306 Å, b = 4.218 Å, c = 17.826 Å, α = 90.00°, β = 90.06° and γ = 90.00°. The distinct sites, in fractional coordinates, are Pm at (0.001, 0.000, 0.294), Pm at (0.166, 0.500, 0.883), As at (0.167, 0.500, 0.203), Br at (0.000, 0.000, 0.000) and Br at (0.166, 0.500, 0.604).


(6)
DFT (GGA-PBE) results for a relaxed structure of Y2Co3NiP4.

The formation energy comes out at -1003 meV per atom. As for the total moment: 0.84 μB/f.u.

It has space group P-4m2 (No. 115), with a = 3.931 Å, b = 3.931 Å, c = 9.104 Å, α = 90.00°, β = 90.00° and γ = 90.00°. The distinct sites, in fractional coordinates, are Y at (0.000, 0.500, 0.244), Co at (0.000, 0.500, 0.887), Co at (0.500, 0.500, 0.500), Ni at (0.000, 0.000, 0.500), P at (0.000, 0.000, 0.000), P at (0.000, 0.500, 0.638) and P at (0.500, 0.500, 0.000).


(7)
DFT (GGA-PBE) results for a relaxed structure of In2AsBrO.

As for the total moment: 0.61 μB/f.u. For the formation energy without anion corrections, the calculation gives 888 meV/atom.

It has space group P4/mmm (No. 123), with a = 6.120 Å, b = 6.120 Å, c = 5.067 Å, α = 90.00°, β = 90.00° and γ = 90.00°. The distinct sites, in fractional coordinates, are In at (0.000, 0.500, 0.000), As at (0.000, 0.000, 0.500), Br at (0.000, 0.000, 0.000) and O at (0.500, 0.500, 0.500).